# 1
The following is a DFT calculation (PBE-GGA) of a relaxed structure of LiTbHg3O4.

Cell lengths 5.7918, 5.7918, 5.7918 Å; angles 90.00, 90.00, 90.00 degrees
Space group P-43m (No. 215)
One atom of each set of equivalent atoms:
Li: 0.0000 0.0000 0.0000 (multiplicity 1)
Tb: 0.5000 0.5000 0.5000 (multiplicity 1)
Hg: 0.0000 0.5000 0.5000 (multiplicity 3)
O: 0.2811 0.2811 0.2811 (multiplicity 4)

Summary:
Total energy = -3.881 eV per atom



# 2
The following is a DFT calculation (PBE-GGA) of a relaxed structure of Dy4Er2LuNi2Te2.

Cell lengths 3.8343, 15.5476, 9.5553 Å; angles 90.00, 90.00, 90.00 degrees
Space group Imm2 (No. 44)
One atom of each set of equivalent atoms:
Dy: 0.0000 0.1336 0.0000 (multiplicity 4)
Dy: 0.0000 0.3545 0.1466 (multiplicity 4)
Er: 0.0000 0.3156 0.7962 (multiplicity 4)
Lu: 0.0000 0.0000 0.4184 (multiplicity 2)
Ni: 0.0000 0.2359 0.4876 (multiplicity 4)
Te: 0.0000 0.0000 0.7558 (multiplicity 2)
Te: 0.0000 0.5000 0.6539 (multiplicity 2)

Summary:
ΔE to the lowest computed polymorph = 0.0000 eV/atom



# 3
The following is a DFT calculation (PBE-GGA) of a relaxed structure of NbTlB.

Cell lengths 6.1850, 6.1850, 6.1850 Å; angles 90.00, 90.00, 90.00 degrees
Space group F-43m (No. 216)
One atom of each set of equivalent atoms:
Nb: 0.0000 0.0000 0.0000 (multiplicity 4)
Tl: 0.2500 0.2500 0.7500 (multiplicity 4)
B: 0.2500 0.2500 0.2500 (multiplicity 4)

Summary:
ΔE to the lowest computed polymorph = 0.6211 eV/atom



# 4
The following is a DFT calculation (PBE-GGA) of a relaxed structure of BaPuPd.

Cell lengths 7.3430, 7.3430, 7.3430 Å; angles 90.00, 90.00, 90.00 degrees
Space group F-43m (No. 216)
One atom of each set of equivalent atoms:
Ba: 0.0000 0.0000 0.0000 (multiplicity 4)
Pu: 0.0000 0.0000 0.5000 (multiplicity 4)
Pd: 0.2500 0.2500 0.2500 (multiplicity 4)

Summary:
ΔE to the lowest computed polymorph = 0.0000 eV/atom



# 5
The following is a DFT calculation (PBE-GGA) of a relaxed structure of TbHoZn.

Cell lengths 6.9680, 6.9680, 6.9680 Å; angles 90.00, 90.00, 90.00 degrees
Space group F-43m (No. 216)
One atom of each set of equivalent atoms:
Tb: 0.0000 0.0000 0.0000 (multiplicity 4)
Ho: 0.0000 0.0000 0.5000 (multiplicity 4)
Zn: 0.2500 0.2500 0.7500 (multiplicity 4)

Summary:
ΔE to the lowest computed polymorph = 0.1127 eV/atom



# 6
The following is a DFT calculation (PBE-GGA) of a relaxed structure of La2NdIrPd2Pb3.

Cell lengths 4.1800, 13.5828, 7.8445 Å; angles 90.00, 90.00, 90.00 degrees
Space group Amm2 (No. 38)
One atom of each set of equivalent atoms:
La: 0.0000 0.2023 0.0000 (multiplicity 4)
Nd: 0.0000 0.0000 0.6049 (multiplicity 2)
Ir: 0.0000 0.0000 0.2025 (multiplicity 2)
Pd: 0.5000 0.1663 0.7025 (multiplicity 4)
Pb: 0.5000 0.0000 0.9457 (multiplicity 2)
Pb: 0.5000 0.1264 0.3310 (multiplicity 4)

Summary:
Total energy = -5.688 eV per atom



# 7
The following is a DFT calculation (PBE-GGA) of a relaxed structure of Ho2InGaPd4.

Cell lengths 4.5018, 4.5018, 8.9861 Å; angles 90.00, 90.00, 120.00 degrees
Space group P-3m1 (No. 164)
One atom of each set of equivalent atoms:
Ho: 0.3333 0.6667 0.2448 (multiplicity 2)
In: 0.0000 0.0000 0.5000 (multiplicity 1)
Ga: 0.0000 0.0000 0.0000 (multiplicity 1)
Pd: 0.3333 0.6667 0.5909 (multiplicity 2)
Pd: 0.3333 0.6667 0.9201 (multiplicity 2)

Summary:
Total energy = -5.305 eV per atom



# 8
The following is a DFT calculation (PBE-GGA) of a relaxed structure of GaCuAgHg.

Cell lengths 6.5617, 6.5617, 6.5617 Å; angles 90.00, 90.00, 90.00 degrees
Space group F-43m (No. 216)
One atom of each set of equivalent atoms:
Ga: 0.0000 0.0000 0.0000 (multiplicity 4)
Cu: 0.2500 0.2500 0.2500 (multiplicity 4)
Ag: 0.2500 0.2500 0.7500 (multiplicity 4)
Hg: 0.0000 0.0000 0.5000 (multiplicity 4)

Summary:
ΔE to the lowest computed polymorph = 0.0000 eV/atom



Calculated volume for every record listed, in sequence, given in Å³ per atom: 21.587; 25.893; 19.717; 32.994; 28.194; 24.744; 19.714; 17.657.